Entry 1:
DFT (PBE-GGA) results for a relaxed structure of LaGa3Pt3.

Unit cell a=7.785 b=7.785 c=7.785 alpha=52.46 beta=52.46 gamma=52.46
Fractional coordinates of all 14 atoms:
La 0.160 0.160 0.160
La 0.840 0.840 0.840
Ga 0.043 0.599 0.228
Ga 0.228 0.043 0.599
Ga 0.401 0.772 0.957
Ga 0.599 0.228 0.043
Ga 0.772 0.957 0.401
Ga 0.957 0.401 0.772
Pt 0.183 0.661 0.408
Pt 0.339 0.592 0.817
Pt 0.408 0.183 0.661
Pt 0.592 0.817 0.339
Pt 0.661 0.408 0.183
Pt 0.817 0.339 0.592

Computed properties:
Volume   19.6 Å³ per atom
Density of states at the Fermi level   1.6 states/eV/f.u.
Spin magnetization   0.0 Bohr magnetons per cell
Energy of formation   -771 meV per atom



Entry 2:
DFT (PBE-GGA) results for a relaxed structure of Zr2RhAu6.

Unit cell a=6.904 b=6.904 c=6.879 alpha=111.19 beta=111.19 gamma=32.76
Fractional coordinates of all 9 atoms:
Zr 0.057 0.057 0.307
Zr 0.943 0.943 0.693
Rh 0.500 0.500 0.000
Au 0.163 0.163 0.000
Au 0.275 0.275 0.666
Au 0.396 0.396 0.336
Au 0.604 0.604 0.664
Au 0.725 0.725 0.334
Au 0.837 0.837 0.000

Computed properties:
Volume   18.3 Å³ per atom
Density of states at the Fermi level   3.6 states/eV/f.u.
Spin magnetization   0.0 Bohr magnetons per cell
Energy of formation   -438 meV per atom



Entry 3:
DFT (PBE-GGA) results for a relaxed structure of YC2S.

Unit cell a=5.073 b=5.073 c=5.073 alpha=113.32 beta=113.32 gamma=102.01
Fractional coordinates of all 8 atoms:
Y 0.000 0.000 0.000
Y 0.750 0.250 0.500
C 0.232 0.625 0.107
C 0.375 0.482 0.607
C 0.518 0.125 0.893
C 0.875 0.768 0.393
S 0.250 0.750 0.500
S 0.500 0.500 0.000

Computed properties:
Volume   12.4 Å³ per atom
Density of states at the Fermi level   0.3 states/eV/f.u.
Spin magnetization   0.0 Bohr magnetons per cell
Uncorrected energy   -25.99 eV per formula unit



Entry 4:
DFT (PBE-GGA) results for a relaxed structure of Ca4NdU3As8.

Unit cell a=8.393 b=8.393 c=8.393 alpha=59.96 beta=59.96 gamma=59.96
Fractional coordinates of all 16 atoms:
Ca 0.000 0.000 0.000
Ca 0.000 0.500 0.500
Ca 0.500 0.000 0.500
Ca 0.500 0.500 0.000
Nd 0.500 0.500 0.500
U 0.000 0.000 0.500
U 0.000 0.500 0.000
U 0.500 0.000 0.000
As 0.233 0.750 0.750
As 0.243 0.243 0.243
As 0.250 0.250 0.767
As 0.250 0.767 0.250
As 0.750 0.233 0.750
As 0.750 0.750 0.233
As 0.757 0.757 0.757
As 0.767 0.250 0.250

Computed properties:
Volume   26.1 Å³ per atom
Density of states at the Fermi level   20.0 states/eV/f.u.
Spin magnetization   5.0 Bohr magnetons per cell
Energy of formation   -1056 meV per atom



Entry 5:
DFT (PBE-GGA) results for a relaxed structure of RbTe3Se3.

Unit cell a=10.450 b=10.450 c=10.450 alpha=46.19 beta=46.19 gamma=46.19
Fractional coordinates of all 14 atoms:
Rb 0.156 0.156 0.156
Rb 0.844 0.844 0.844
Te 0.113 0.630 0.114
Te 0.114 0.113 0.630
Te 0.370 0.886 0.887
Te 0.630 0.114 0.113
Te 0.886 0.887 0.370
Te 0.887 0.370 0.886
Se 0.093 0.581 0.580
Se 0.419 0.420 0.907
Se 0.420 0.907 0.419
Se 0.580 0.093 0.581
Se 0.581 0.580 0.093
Se 0.907 0.419 0.420

Computed properties:
Volume   38.7 Å³ per atom
Density of states at the Fermi level   1.9 states/eV/f.u.
Spin magnetization   0.0 Bohr magnetons per cell
Uncorrected energy   -22.39 eV per formula unit



Entry 6:
DFT (PBE-GGA) results for a relaxed structure of Ho2TmSe3.

Unit cell a=6.988 b=6.988 c=6.988 alpha=146.19 beta=131.90 gamma=60.08
Fractional coordinates of all 6 atoms:
Ho 0.169 0.169 0.000
Ho 0.831 0.831 0.000
Tm 0.500 0.500 0.000
Se 0.000 0.500 0.500
Se 0.336 0.836 0.500
Se 0.664 0.164 0.500

Computed properties:
Volume   23.3 Å³ per atom
Density of states at the Fermi level   2.5 states/eV/f.u.
Spin magnetization   0.0 Bohr magnetons per cell
Uncorrected energy   -34.27 eV per formula unit



Entry 7:
DFT (PBE-GGA) results for a relaxed structure of LiLaHRh2.

Unit cell a=4.254 b=4.254 c=3.983 alpha=90.00 beta=90.00 gamma=90.00
Fractional coordinates of all 5 atoms:
Li 0.000 0.000 0.000
La 0.500 0.500 0.000
H 0.000 0.000 0.500
Rh 0.000 0.500 0.500
Rh 0.500 0.000 0.500

Computed properties:
Volume   14.4 Å³ per atom
Density of states at the Fermi level   3.1 states/eV/f.u.
Spin magnetization   0.0 Bohr magnetons per cell
Uncorrected energy   -27.15 eV per formula unit



Entry 8:
DFT (PBE-GGA) results for a relaxed structure of Gd2ThV.

Unit cell a=5.433 b=5.433 c=5.433 alpha=59.18 beta=59.18 gamma=59.18
Fractional coordinates of all 4 atoms:
Gd 0.248 0.248 0.248
Gd 0.752 0.752 0.752
Th 0.000 0.000 0.000
V 0.500 0.500 0.500

Computed properties:
Volume   27.8 Å³ per atom
Density of states at the Fermi level   5.3 states/eV/f.u.
Spin magnetization   12.2 Bohr magnetons per cell
Energy of formation   422 meV per atom



Entry 9:
DFT (PBE-GGA) results for a relaxed structure of Sm2Dy15Tm2.

Unit cell a=8.701 b=8.701 c=8.701 alpha=79.82 beta=79.82 gamma=79.82
Fractional coordinates of all 19 atoms:
Sm 0.176 0.176 0.176
Sm 0.824 0.824 0.824
Dy 0.000 0.500 0.500
Dy 0.131 0.131 0.648
Dy 0.131 0.648 0.131
Dy 0.203 0.500 0.797
Dy 0.203 0.797 0.500
Dy 0.352 0.869 0.869
Dy 0.500 0.000 0.500
Dy 0.500 0.203 0.797
Dy 0.500 0.500 0.000
Dy 0.500 0.797 0.203
Dy 0.648 0.131 0.131
Dy 0.797 0.203 0.500
Dy 0.797 0.500 0.203
Dy 0.869 0.352 0.869
Dy 0.869 0.869 0.352
Tm 0.404 0.404 0.404
Tm 0.596 0.596 0.596

Computed properties:
Volume   33.2 Å³ per atom
Density of states at the Fermi level   35.0 states/eV/f.u.
Spin magnetization   0.0 Bohr magnetons per cell
Energy of formation   279 meV per atom



Entry 10:
DFT (PBE-GGA) results for a relaxed structure of Sc2InTe.

Unit cell a=8.408 b=8.408 c=8.408 alpha=26.20 beta=26.20 gamma=26.20
Fractional coordinates of all 4 atoms:
Sc 0.000 0.000 0.000
Sc 0.179 0.179 0.179
In 0.757 0.757 0.757
Te 0.588 0.588 0.588

Computed properties:
Volume   25.5 Å³ per atom
Density of states at the Fermi level   3.4 states/eV/f.u.
Spin magnetization   0.0 Bohr magnetons per cell
Uncorrected energy   -21.04 eV per formula unit



Entry 11:
DFT (PBE-GGA) results for a relaxed structure of ZrSb2Pt.

Unit cell a=5.779 b=5.779 c=4.215 alpha=92.07 beta=92.07 gamma=39.31
Fractional coordinates of all 4 atoms:
Zr 0.000 0.000 0.000
Sb 0.282 0.282 0.992
Sb 0.575 0.575 0.508
Pt 0.825 0.825 0.492

Computed properties:
Volume   22.3 Å³ per atom
Density of states at the Fermi level   1.5 states/eV/f.u.
Spin magnetization   0.0 Bohr magnetons per cell
Uncorrected energy   -25.14 eV per formula unit



Entry 12:
DFT (PBE-GGA) results for a relaxed structure of VCdIr2.

Unit cell a=2.869 b=2.869 c=7.548 alpha=90.00 beta=90.00 gamma=90.00
Fractional coordinates of all 4 atoms:
V 0.000 0.000 0.000
Cd 0.000 0.000 0.500
Ir 0.500 0.500 0.216
Ir 0.500 0.500 0.784

Computed properties:
Volume   15.5 Å³ per atom
Density of states at the Fermi level   3.0 states/eV/f.u.
Spin magnetization   0.3 Bohr magnetons per cell
Energy of formation   -261 meV per atom



Entry 13:
DFT (PBE-GGA) results for a relaxed structure of KIn2Ru.

Unit cell a=5.060 b=5.060 c=5.060 alpha=60.00 beta=60.00 gamma=60.00
Fractional coordinates of all 4 atoms:
K 0.000 0.000 0.000
In 0.500 0.500 0.500
In 0.750 0.750 0.750
Ru 0.250 0.250 0.250

Computed properties:
Volume   22.9 Å³ per atom
Density of states at the Fermi level   3.5 states/eV/f.u.
Spin magnetization   0.7 Bohr magnetons per cell
Energy of formation   689 meV per atom



Entry 14:
DFT (PBE-GGA) results for a relaxed structure of TbDy3Th2As6.

Unit cell a=9.318 b=9.318 c=8.323 alpha=102.78 beta=102.78 gamma=25.92
Fractional coordinates of all 12 atoms:
Tb 0.000 0.000 0.000
Dy 0.000 0.000 0.500
Dy 0.334 0.334 0.166
Dy 0.666 0.666 0.834
Th 0.335 0.335 0.670
Th 0.665 0.665 0.330
As 0.165 0.165 0.587
As 0.167 0.167 0.078
As 0.498 0.498 0.250
As 0.502 0.502 0.750
As 0.833 0.833 0.922
As 0.835 0.835 0.413

Computed properties:
Volume   25.6 Å³ per atom
Density of states at the Fermi level   3.9 states/eV/f.u.
Spin magnetization   0.0 Bohr magnetons per cell
Energy of formation   -1500 meV per atom



Entry 15:
DFT (PBE-GGA) results for a relaxed structure of SnC3F.

Unit cell a=3.877 b=3.877 c=3.877 alpha=90.00 beta=90.00 gamma=90.00
Fractional coordinates of all 5 atoms:
Sn 0.000 0.000 0.000
C 0.000 0.500 0.500
C 0.500 0.000 0.500
C 0.500 0.500 0.000
F 0.500 0.500 0.500

Computed properties:
Volume   11.7 Å³ per atom
Density of states at the Fermi level   3.6 states/eV/f.u.
Spin magnetization   0.0 Bohr magnetons per cell
Uncorrected energy   -18.96 eV per formula unit



Entry 16:
DFT (PBE-GGA) results for a relaxed structure of La3GaRh3.

Unit cell a=5.846 b=5.846 c=13.971 alpha=90.00 beta=90.00 gamma=137.81
Fractional coordinates of all 14 atoms:
La 0.025 0.975 0.750
La 0.297 0.703 0.606
La 0.297 0.703 0.894
La 0.703 0.297 0.106
La 0.703 0.297 0.394
La 0.975 0.025 0.250
Ga 0.000 0.000 0.000
Ga 0.000 0.000 0.500
Rh 0.251 0.749 0.250
Rh 0.421 0.579 0.087
Rh 0.421 0.579 0.413
Rh 0.579 0.421 0.587
Rh 0.579 0.421 0.913
Rh 0.749 0.251 0.750

Computed properties:
Volume   22.9 Å³ per atom
Density of states at the Fermi level   4.3 states/eV/f.u.
Spin magnetization   0.0 Bohr magnetons per cell
Energy of formation   -780 meV per atom



Entry 17:
DFT (PBE-GGA) results for a relaxed structure of Hf2Tl2Bi.

Unit cell a=7.560 b=7.560 c=4.473 alpha=90.00 beta=90.00 gamma=90.00
Fractional coordinates of all 10 atoms:
Hf 0.146 0.354 0.000
Hf 0.354 0.854 0.000
Hf 0.646 0.146 0.000
Hf 0.854 0.646 0.000
Tl 0.159 0.659 0.500
Tl 0.341 0.159 0.500
Tl 0.659 0.841 0.500
Tl 0.841 0.341 0.500
Bi 0.000 0.000 0.000
Bi 0.500 0.500 0.000

Computed properties:
Volume   25.6 Å³ per atom
Density of states at the Fermi level   2.9 states/eV/f.u.
Spin magnetization   0.0 Bohr magnetons per cell
Energy of formation   103 meV per atom



Entry 18:
DFT (PBE-GGA) results for a relaxed structure of TaTeBr2.

Unit cell a=8.052 b=8.052 c=8.052 alpha=157.10 beta=142.85 gamma=44.09
Fractional coordinates of all 4 atoms:
Ta 0.000 0.000 0.000
Te 0.155 0.655 0.500
Br 0.497 0.497 0.000
Br 0.858 0.358 0.500

Computed properties:
Volume   30.6 Å³ per atom
Density of states at the Fermi level   3.5 states/eV/f.u.
Spin magnetization   0.0 Bohr magnetons per cell
Uncorrected energy   -18.77 eV per formula unit



Entry 19:
DFT (PBE-GGA) results for a relaxed structure of Ac3Pm2Tl4.

Unit cell a=5.677 b=5.677 c=10.910 alpha=90.24 beta=90.24 gamma=59.78
Fractional coordinates of all 9 atoms:
Ac 0.000 0.000 0.000
Ac 0.334 0.334 0.418
Ac 0.666 0.666 0.582
Pm 0.334 0.334 0.785
Pm 0.666 0.666 0.215
Tl 0.000 0.000 0.339
Tl 0.000 0.000 0.661
Tl 0.333 0.333 0.101
Tl 0.667 0.667 0.899

Computed properties:
Volume   33.8 Å³ per atom
Density of states at the Fermi level   11.9 states/eV/f.u.
Spin magnetization   0.0 Bohr magnetons per cell
Energy of formation   -271 meV per atom



Entry 20:
DFT (PBE-GGA) results for a relaxed structure of CaAg6Sn2.

Unit cell a=4.641 b=4.641 c=9.230 alpha=90.00 beta=90.00 gamma=90.00
Fractional coordinates of all 9 atoms:
Ca 0.000 0.000 0.000
Ag 0.000 0.000 0.500
Ag 0.000 0.500 0.314
Ag 0.000 0.500 0.686
Ag 0.500 0.000 0.314
Ag 0.500 0.000 0.686
Ag 0.500 0.500 0.500
Sn 0.500 0.500 0.151
Sn 0.500 0.500 0.849

Computed properties:
Volume   22.1 Å³ per atom
Density of states at the Fermi level   3.0 states/eV/f.u.
Spin magnetization   0.0 Bohr magnetons per cell
Energy of formation   -110 meV per atom



Entry 21:
DFT (PBE-GGA) results for a relaxed structure of Nd2Zn3Ga4Ni.

Unit cell a=4.241 b=4.241 c=10.459 alpha=90.00 beta=90.00 gamma=90.00
Fractional coordinates of all 10 atoms:
Nd 0.000 0.500 0.243
Nd 0.500 0.000 0.757
Zn 0.000 0.000 0.000
Zn 0.000 0.500 0.640
Zn 0.500 0.000 0.360
Ga 0.000 0.000 0.500
Ga 0.000 0.500 0.877
Ga 0.500 0.000 0.123
Ga 0.500 0.500 0.500
Ni 0.500 0.500 0.000

Computed properties:
Volume   18.8 Å³ per atom
Density of states at the Fermi level   4.9 states/eV/f.u.
Spin magnetization   0.0 Bohr magnetons per cell
Energy of formation   -476 meV per atom



Entry 22:
DFT (PBE-GGA) results for a relaxed structure of Nd2Sn3Pt5.

Unit cell a=13.238 b=13.238 c=7.656 alpha=90.00 beta=90.00 gamma=161.55
Fractional coordinates of all 20 atoms:
Nd 0.023 0.977 0.500
Nd 0.320 0.680 0.625
Nd 0.680 0.320 0.125
Nd 0.977 0.023 0.000
Sn 0.119 0.881 0.775
Sn 0.283 0.717 0.148
Sn 0.447 0.553 0.670
Sn 0.553 0.447 0.170
Sn 0.717 0.283 0.648
Sn 0.881 0.119 0.275
Pt 0.108 0.892 0.267
Pt 0.203 0.797 0.416
Pt 0.219 0.781 0.863
Pt 0.381 0.619 0.016
Pt 0.452 0.548 0.308
Pt 0.548 0.452 0.808
Pt 0.619 0.381 0.516
Pt 0.781 0.219 0.363
Pt 0.797 0.203 0.916
Pt 0.892 0.108 0.767

Computed properties:
Volume   21.2 Å³ per atom
Density of states at the Fermi level   5.1 states/eV/f.u.
Spin magnetization   0.0 Bohr magnetons per cell
Energy of formation   -834 meV per atom



Entry 23:
DFT (PBE-GGA) results for a relaxed structure of NdDy2Th.

Unit cell a=5.702 b=5.702 c=5.702 alpha=60.00 beta=60.00 gamma=60.00
Fractional coordinates of all 4 atoms:
Nd 0.000 0.000 0.000
Dy 0.250 0.250 0.250
Dy 0.750 0.750 0.750
Th 0.500 0.500 0.500

Computed properties:
Volume   32.8 Å³ per atom
Density of states at the Fermi level   8.6 states/eV/f.u.
Spin magnetization   0.0 Bohr magnetons per cell
Energy of formation   145 meV per atom